[1]
Crystalline Sm14TmMg at its relaxed geometry. Source: the Alexandria database, functional PBE.

Cell lengths 10.1826, 10.1600, 10.1593 Å; angles 90.00, 90.00, 90.00 degrees
Closest atoms and distances in Å follow each position.
Space group Amm2 (No. 38)
Unique sites:
Sm: 0.0000 0.0000 0.9997  12 Sm 3.59-3.62
Sm: 0.0000 0.0000 0.5000  12 Sm 3.59-3.62
Sm: 0.0000 0.2504 0.2499  12 Sm 3.59-3.62
Sm: 0.2523 0.0000 0.2493  1 Tm 3.57, 10 Sm 3.58-3.62, 1 Mg 3.58
Sm: 0.2534 0.0000 0.7505  1 Tm 3.57, 10 Sm 3.58-3.62, 1 Mg 3.58
Sm: 0.2528 0.2494 0.0000  1 Tm 3.57, 10 Sm 3.57-3.62, 1 Mg 3.58
Sm: 0.5000 0.2495 0.2501  8 Sm 3.57-3.58, 2 Mg 3.58-3.60, 2 Tm 3.59-3.60
Tm: 0.5000 0.0000 0.0001  12 Sm 3.57-3.60
Mg: 0.5000 0.0000 0.4992  12 Sm 3.58-3.60

Density of states at the Fermi level   41.67 states/eV per cell
V   1051 Å³/cell
Formation energy from the elements   0.013 eV/atom
Total magnetization   0.00 μB per formula unit
Uncorrected energy   -143.86 eV per cell


[2]
Crystalline BeCu2Ag at its relaxed geometry. Source: the Alexandria database, functional PBE.

Cell lengths 2.6924, 2.6924, 24.5020 Å; angles 90.00, 90.00, 120.00 degrees
Closest atoms and distances in Å follow each position.
Space group R3m (No. 160, hexagonal axes)
Unique sites:
Be: 0.0000 0.0000 0.0000  6 Cu 2.34
Cu: 0.0000 0.0000 0.4045  3 Be 2.34
Cu: 0.0000 0.0000 0.5955  3 Be 2.34
Ag: 0.0000 0.0000 0.8333  6 Ag 2.69, 6 Cu 2.81

Density of states at the Fermi level   2.02 states/eV per cell
V   154 Å³/cell
Formation energy from the elements   0.133 eV/atom
Total magnetization   0.00 μB per formula unit
Uncorrected energy   -42.72 eV per cell


[3]
Crystalline MgScTc2 at its relaxed geometry. Source: the Alexandria database, functional PBE.

Cell lengths 2.7931, 4.5050, 5.3585 Å; angles 90.00, 100.62, 90.00 degrees
Closest atoms and distances in Å follow each position.
Space group P2/m (No. 10)
Unique sites:
Mg: 0.0000 0.0000 0.0000  2 Sc 2.78, 4 Tc 2.79, 2 Mg 2.79
Sc: 0.5000 0.0000 0.5000  4 Tc 2.76, 2 Mg 2.78, 2 Sc 2.79
Tc: 0.2439 0.5000 0.7430  4 Tc 2.71-2.86, 2 Sc 2.76, 2 Mg 2.79

Density of states at the Fermi level   3.97 states/eV per cell
V   66 Å³/cell
Formation energy from the elements   0.133 eV/atom
Total magnetization   0.00 μB per formula unit
Uncorrected energy   -28.13 eV per cell


[4]
Crystalline CoSeBr at its relaxed geometry. Source: the Alexandria database, functional PBE.

Cell lengths 6.2556, 3.4695, 7.3339 Å; angles 90.00, 110.88, 90.00 degrees
Closest atoms and distances in Å follow each position.
Space group P2_1/m (No. 11)
Unique sites:
Co: 0.2418 0.2500 0.0017  3 Se 2.32-2.33, 3 Br 2.52
Se: 0.1487 0.7500 0.1720  3 Co 2.32-2.33
Br: 0.3380 0.7500 0.7933  3 Co 2.52

V   149 Å³/cell
Total magnetization   0.00 μB per formula unit
Uncorrected energy   -26.51 eV per cell


[5]
Crystalline Sm3Tc2C4 at its relaxed geometry. Source: the Alexandria database, functional PBE.

Cell lengths 11.2020, 3.4063, 7.3191 Å; angles 90.00, 95.69, 90.00 degrees
Closest atoms and distances in Å follow each position.
Space group C2/m (No. 12)
Unique sites:
Sm: 0.0000 0.0000 0.0000  4 C 2.50
Sm: 0.1226 0.5000 0.4171  4 C 2.49-2.63
Tc: 0.2123 0.5000 0.8355  3 C 1.99-2.11
C: 0.1571 0.0000 0.6788  2 Tc 2.11
C: 0.1590 0.5000 0.0874  1 Tc 1.99

Density of states at the Fermi level   10.78 states/eV per cell
V   278 Å³/cell
Formation energy from the elements   0.028 eV/atom
Total magnetization   0.00 μB per formula unit
Uncorrected energy   -143.07 eV per cell


[6]
Crystalline Os2RuW at its relaxed geometry. Source: the Alexandria database, functional PBE.

Cell lengths 2.7535, 2.7535, 7.7589 Å; angles 90.00, 90.00, 90.00 degrees
Closest atoms and distances in Å follow each position.
Space group P4/mmm (No. 123)
Unique sites:
Os: 0.0000 0.0000 0.2439  4 Ru 2.71, 4 Os 2.75, 4 W 2.78
Ru: 0.5000 0.5000 0.0000  8 Os 2.71, 4 Ru 2.75
W: 0.5000 0.5000 0.5000  4 W 2.75, 8 Os 2.78

Density of states at the Fermi level   3.58 states/eV per cell
V   59 Å³/cell
Formation energy from the elements   0.115 eV/atom
Total magnetization   0.00 μB per formula unit
E above lowest polymorph   0.121 eV per atom
Uncorrected energy   -44.23 eV per cell